Record 1
# PBE BeSiSe, relaxed
# Energy relative to the lowest polymorph listed for this composition in eV/atom: 0.1860
# Density in g/cm3: 3.36
# Formation energy from raw total energies in eV/atom: -0.22
# Electronic total energy in eV per atom: -4.43
data_BeSiSe
_chemical_formula_sum 'Be4 Si4 Se4'
_cell_length_a 5.084
_cell_length_b 12.577
_cell_length_c 3.707
_cell_angle_alpha 90.00
_cell_angle_beta 104.72
_cell_angle_gamma 90.00
_symmetry_space_group_name_H-M 'C 1 c 1'
_symmetry_Int_Tables_number 9
loop_
_symmetry_equiv_pos_as_xyz
'x,y,z'
'x,-y,z+1/2'
'x+1/2,y+1/2,z'
'x+1/2,-y+1/2,z+1/2'
loop_
_atom_site_label
_atom_site_fract_x
_atom_site_fract_y
_atom_site_fract_z
Be1 0.000 0.172 0.000
Si1 0.340 0.055 0.213
Se1 0.227 0.325 0.915

***

Record 2
# PBE Ba2ErBe2As4, relaxed
# Density of states at the Fermi level in states/eV/f.u.: 2.87
# Density in g/cm3: 5.72
# Electronic total energy in eV per atom: -4.68
# Energy of formation in meV/atom: -855
data_Ba2ErBe2As4
_chemical_formula_sum 'Ba4 Er2 Be4 As8'
_cell_length_a 15.311
_cell_length_b 4.095
_cell_length_c 7.492
_cell_angle_alpha 90.00
_cell_angle_beta 110.04
_cell_angle_gamma 90.00
_symmetry_space_group_name_H-M 'C 1 2/m 1'
_symmetry_Int_Tables_number 12
loop_
_symmetry_equiv_pos_as_xyz
'x,y,z'
'-x,-y,-z'
'-x,y,-z'
'x,-y,z'
'x+1/2,y+1/2,z'
'-x+1/2,-y+1/2,-z'
'-x+1/2,y+1/2,-z'
'x+1/2,-y+1/2,z'
loop_
_atom_site_label
_atom_site_fract_x
_atom_site_fract_y
_atom_site_fract_z
Ba1 0.138 0.000 0.075
Er1 0.000 0.000 0.500
Be1 0.173 0.500 0.479
As1 0.022 0.500 0.256
As2 0.202 0.000 0.657